Entry 1:
## Sr2VRh (PBE-GGA)

Data for Sr2VRh after structural relaxation.

Symmetry = I-42d (122)
Energy of formation from the pure elements = 1.261 eV per formula unit
Spin magnetization = 0.860 μB per atom

Cell: 11.3254 11.3254 4.6949 Å, 90.00 90.00 90.00°
With the nearest neighbours (Å) after each atom.
Sites, in units of the cell vectors:
Sr 0.0788 0.2500 0.1250  2 Rh 3.03
Sr 0.2500 0.5788 0.3750  2 Rh 3.03
Sr 0.2500 0.9212 0.8750  2 Rh 3.03
Sr 0.4212 0.2500 0.6250  2 Rh 3.03
Sr 0.5788 0.7500 0.6250  2 Rh 3.03
Sr 0.7500 0.0788 0.8750  2 Rh 3.03
Sr 0.7500 0.4212 0.3750  2 Rh 3.03
Sr 0.9212 0.7500 0.1250  2 Rh 3.03
V 0.0000 0.0000 0.5000  2 Rh 2.35
V 0.0000 0.5000 0.7500  2 Rh 2.35
V 0.5000 0.0000 0.2500  2 Rh 2.35
V 0.5000 0.5000 0.0000  2 Rh 2.35
Rh 0.0000 0.0000 0.0000  2 V 2.35
Rh 0.0000 0.5000 0.2500  2 V 2.35
Rh 0.5000 0.0000 0.7500  2 V 2.35
Rh 0.5000 0.5000 0.5000  2 V 2.35

---

Entry 2:
## Pm2SiGe3Pt4 (PBE-GGA)

Data for Pm2SiGe3Pt4 after structural relaxation.

Uncorrected formation energy = -0.97 eV per atom
Symmetry = P-4m2 (115)
Spin magnetization = 0.000 μB per atom

Cell: 4.3604 4.3604 9.9475 Å, 90.00 90.00 90.00°
With the nearest neighbours (Å) after each atom.
Sites, in units of the cell vectors:
Pm 0.0000 0.5000 0.2456  6 Ge 3.27-3.31, 2 Si 3.27, 9 Pt 3.34-3.61
Pm 0.5000 0.0000 0.7544  2 Si 3.27, 6 Ge 3.27-3.31, 9 Pt 3.34-3.61
Si 0.5000 0.5000 0.0000  4 Pt 2.47
Ge 0.0000 0.0000 0.0000  4 Pt 2.47
Ge 0.0000 0.5000 0.6329  5 Pt 2.48-2.55
Ge 0.5000 0.0000 0.3671  5 Pt 2.48-2.55
Pt 0.0000 0.0000 0.5000  4 Ge 2.55
Pt 0.0000 0.5000 0.8822  2 Si 2.47, 3 Ge 2.47-2.48
Pt 0.5000 0.0000 0.1178  2 Si 2.47, 3 Ge 2.47-2.48
Pt 0.5000 0.5000 0.5000  4 Ge 2.55

---

Entry 3:
## AcScSO2 (PBE-GGA)

Data for AcScSO2 after structural relaxation.

Uncorrected formation energy = -3.07 eV per atom
Symmetry = P4mm (99)
Spin magnetization = 0.000 μB per atom

Cell: 4.0574 4.0574 5.9299 Å, 90.00 90.00 90.00°
With the nearest neighbours (Å) after each atom.
Sites, in units of the cell vectors:
Ac 0.0000 0.0000 0.0000  4 O 2.52
Sc 0.5000 0.5000 0.3559  4 O 2.12
S 0.5000 0.5000 0.7789  1 Sc 2.51
O 0.0000 0.5000 0.2514  2 Sc 2.12
O 0.5000 0.0000 0.2514  2 Sc 2.12

---

Calculated density per entry: 3.6 11.6 5.7 g cm⁻³
D(E_F) per entry: 17.31 6.22 0.00 states/eV per cell